No. 1
This record from Alexandria describes MnCuSeN2 after structural relaxation. The functional is PBE-GGA.

Properties
- symmetry = P4/mmm (123)
- energy above the most stable polymorph in this dataset (meV/atom) = 1126

a b c (Å): 3.9338 4.5090 3.9338
angles (deg): 90.00 90.00 90.00
Closest atoms and distances in Å follow each position.
Fractional coordinates of all 5 atoms:
Mn 0.5000 0.5000 0.5000  4 Cu 2.78, 8 N 2.99
Cu 0.0000 0.5000 0.0000  2 Se 2.25
Se 0.0000 0.0000 0.0000  4 N 1.97
N 0.0000 0.0000 0.5000  2 Se 1.97
N 0.5000 0.0000 0.0000  2 Se 1.97


No. 2
This record from Alexandria describes La2ZrNpN4 after structural relaxation. The functional is PBE-GGA.

Properties
- symmetry = P2/m (10)

a b c (Å): 3.4751 5.9704 6.2320
angles (deg): 108.26 90.00 90.00
Closest atoms and distances in Å follow each position.
Fractional coordinates of all 8 atoms:
La 0.5000 0.0000 0.5000  6 N 2.66
La 0.0000 0.5000 0.5000  6 N 2.66
Zr 0.0000 0.0000 0.0000  6 N 2.30-2.35
Np 0.5000 0.5000 0.0000  6 N 2.31-2.35
N 0.5000 0.2376 0.2038  1 Np 2.31, 2 Zr 2.35
N 0.5000 0.7624 0.7962  1 Np 2.31, 2 Zr 2.35
N 0.0000 0.2620 0.7964  1 Zr 2.30, 2 Np 2.35
N 0.0000 0.7380 0.2036  1 Zr 2.30, 2 Np 2.35


ΔE_f (raw)
In order: 1677 -1393
Unit: meV/atom